Entry 1:
Computed, not measured: an optimized crystal structure of Cr3BO at the GGA+U level of DFT.

Calculated values
Distance to the lowest polymorph of the same formula (meV/atom): 0
N(E_F) (states/eV per cell): 6.48
Total DFT energy (no corrections) (eV/atom): -6.09

Cell: 4.228 4.228 4.228 Å, 90.00 90.00 90.00°
Space group Pm-3m (No. 221)
One atom of each set of equivalent atoms:
Cr  0.000  0.000  0.500 x3
B  0.000  0.000  0.000 x1
O  0.500  0.500  0.500 x1

***

Entry 2:
Computed, not measured: an optimized crystal structure of CrBO2 at the GGA+U level of DFT.

Calculated values
N(E_F) (states/eV per cell): 10.54
Total DFT energy (no corrections) (eV/atom): -7.47

Cell: 4.648 4.648 6.843 Å, 90.00 90.00 90.00°
Space group I-42d (No. 122)
One atom of each set of equivalent atoms:
Cr  0.000  0.000  0.000 x4
B  0.000  0.000  0.500 x4
O  0.100  0.250  0.625 x8

***

Entry 3:
Computed, not measured: an optimized crystal structure of CrB2O6 at the GGA+U level of DFT.

Calculated values
N(E_F) (states/eV per cell): 0.00
Total DFT energy (no corrections) (eV/atom): -7.33

Cell: 9.842 10.234 4.486 Å, 90.00 117.06 90.00°
Space group C2/c (No. 15)
One atom of each set of equivalent atoms:
Cr  0.000  0.250  0.250 x4
B  0.250  0.064  0.361 x8
O  0.112  0.157  0.146 x8
O  0.112  0.344  0.577 x8
O  0.249  0.044  0.671 x8

***

Entry 4:
Computed, not measured: an optimized crystal structure of Cr2BO3 at the GGA+U level of DFT.

Calculated values
N(E_F) (states/eV per cell): 5.18
Total DFT energy (no corrections) (eV/atom): -7.46

Cell: 6.018 2.699 16.951 Å, 90.00 90.00 90.00°
Space group Pnma (No. 62)
One atom of each set of equivalent atoms:
Cr  0.071  0.250  0.248 x4
Cr  0.166  0.250  0.589 x4
B  0.178  0.250  0.921 x4
O  0.125  0.750  0.882 x4
O  0.176  0.250  0.715 x4
O  0.223  0.750  0.490 x4

***

Entry 5:
Computed, not measured: an optimized crystal structure of CrB2O4 at the GGA+U level of DFT.

Calculated values
N(E_F) (states/eV per cell): 0.00
Total DFT energy (no corrections) (eV/atom): -7.70

Cell: 6.482 6.482 5.336 Å, 90.00 90.00 90.00°
Space group I-42d (No. 122)
One atom of each set of equivalent atoms:
Cr  0.000  0.000  0.000 x4
B  0.075  0.250  0.625 x8
O  0.064  0.716  0.858 x16

***

Entry 6:
Computed, not measured: an optimized crystal structure of CrBO2 at the GGA+U level of DFT.

Calculated values
N(E_F) (states/eV per cell): 1.99
Total DFT energy (no corrections) (eV/atom): -6.86

Cell: 2.5973 2.5973 17.1978 Å, 90.00 90.00 120.00°
Space group R-3m (No. 166, hexagonal axes)
One atom of each set of equivalent atoms:
Cr  0.0000  0.0000  0.0000 x3
B  0.0000  0.0000  0.5000 x3
O  0.0000  0.0000  0.1164 x6